1.
The following is a GGA-PBE calculation of crystalline Nb3AuN at its relaxed geometry, from Alexandria.

Values from the calculation:
raw formation energy = 1003 meV per atom
crystal system = tetragonal
space group = I-4m2
calculated total energy = -73.6 eV/cell

Unit cell a=4.5771 b=4.5771 c=11.0738 alpha=78.07 beta=78.07 gamma=90.00
Last column: nearest neighbours and their distance in Å.
Sites, in units of the cell vectors:
Nb1 0.3218 0.3218 0.3563  2 N 2.36
Nb2 0.1213 0.8699 0.7573  2 Nb 2.28-2.30
Nb3 0.1301 0.8787 0.2427  2 Nb 2.28-2.30
Nb4 0.6782 0.6782 0.6437  2 N 2.36
Nb5 0.6272 0.8787 0.2427  2 Nb 2.28-2.30
Nb6 0.1213 0.3728 0.7573  2 Nb 2.28-2.30
N1 0.6518 0.1518 0.6964  2 Nb 2.36
N2 0.8482 0.3482 0.3036  2 Nb 2.36
Au1 0.0000 0.0000 0.0000  4 Nb 2.82
Au2 0.2500 0.7500 0.5000  8 Nb 2.75-2.95

2.
The following is a GGA-PBE calculation of crystalline SrCu2P at its relaxed geometry, from Alexandria.

Values from the calculation:
energy relative to the elements = -0.36 eV per atom
crystal system = tetragonal
space group = I4_1/amd
calculated total energy = -33.4 eV/cell

Unit cell a=4.7956 b=4.7956 c=8.3288 alpha=73.27 beta=73.27 gamma=90.00
Last column: nearest neighbours and their distance in Å.
Sites, in units of the cell vectors:
Cu1 0.3750 0.6253 0.7500  2 P 2.25, 2 Cu 2.40
Cu2 0.3753 0.6250 0.2500  2 P 2.25, 2 Cu 2.40
Cu3 0.3747 0.1250 0.2500  2 P 2.25, 2 Cu 2.40
Cu4 0.8750 0.6247 0.7500  2 P 2.25, 2 Cu 2.40
Sr1 0.7500 0.2500 0.5000  8 Cu 3.29, 4 P 3.39
Sr2 0.0000 0.0000 0.0000  8 Cu 3.29, 4 P 3.39
P1 0.2500 0.7500 0.5000  4 Cu 2.25
P2 0.5000 0.5000 0.0000  4 Cu 2.25

3.
The following is a GGA-PBE calculation of crystalline LaGeAu at its relaxed geometry, from Alexandria.

Values from the calculation:
energy relative to the elements = -0.69 eV per atom
crystal system = triclinic
space group = P1
calculated total energy = -29.8 eV/cell

Unit cell a=4.5900 b=5.8437 c=6.4091 alpha=100.74 beta=90.09 gamma=66.88
Last column: nearest neighbours and their distance in Å.
Sites, in units of the cell vectors:
Au1 0.5255 0.6485 0.2901  2 Ge 2.71, 1 Au 3.02, 1 La 3.02
Au2 0.7511 0.1955 0.9250  3 Ge 2.63-2.70
Ge1 0.1579 0.3816 0.8290  2 Au 2.63, 1 Ge 2.69
Ge2 0.9460 0.8067 0.1337  1 Ge 2.69, 3 Au 2.70-2.71
La1 0.2197 0.2600 0.3109  5 Au 3.12-3.34, 5 Ge 3.25-3.37
La2 0.4710 0.7555 0.7717  4 Au 3.02-3.35, 5 Ge 3.12-3.31

4.
The following is a GGA-PBE calculation of crystalline Rb2Re3Se6 at its relaxed geometry, from Alexandria.

Values from the calculation:
raw formation energy = -671 meV per atom
crystal system = monoclinic
space group = C2/c
calculated total energy = -270.3 eV/cell

Unit cell a=10.3787 b=10.3787 c=12.6755 alpha=88.71 beta=88.71 gamma=59.80
Last column: nearest neighbours and their distance in Å.
Sites, in units of the cell vectors:
Se1 0.6199 0.0475 0.2835  3 Re 2.53-2.56
Se2 0.2786 0.5425 0.0163  3 Re 2.57-2.58
Se3 0.4220 0.2752 0.7953  2 Re 2.67
Se4 0.0475 0.6199 0.7835  3 Re 2.53-2.56
Se5 0.0050 0.9251 0.9233  1 Se 2.48, 1 Re 2.65
Se6 0.7214 0.4575 0.9837  3 Re 2.57-2.58
Se7 0.9372 0.7320 0.1739  3 Re 2.52-2.56
Se8 0.8016 0.7184 0.4418  3 Re 2.52-2.56
Se9 0.9950 0.0749 0.0767  1 Se 2.48, 1 Re 2.65
Se10 0.2816 0.1984 0.0582  3 Re 2.52-2.56
Se11 0.7248 0.5780 0.7047  2 Re 2.67
Se12 0.2680 0.0628 0.3261  3 Re 2.52-2.56
Se13 0.1984 0.2816 0.5582  3 Re 2.52-2.56
Se14 0.5780 0.7248 0.2047  2 Re 2.67
Se15 0.9525 0.3801 0.2165  3 Re 2.53-2.56
Se16 0.3801 0.9525 0.7165  3 Re 2.53-2.56
Se17 0.7320 0.9372 0.6739  3 Re 2.52-2.56
Se18 0.0628 0.2680 0.8261  3 Re 2.52-2.56
Se19 0.9251 0.0050 0.4233  1 Se 2.48, 1 Re 2.65
Se20 0.0749 0.9950 0.5767  1 Se 2.48, 1 Re 2.65
Se21 0.2752 0.4220 0.2953  2 Re 2.67
Se22 0.7184 0.8016 0.9418  3 Re 2.52-2.56
Se23 0.4575 0.7214 0.4837  3 Re 2.57-2.58
Se24 0.5425 0.2786 0.5163  3 Re 2.57-2.58
Re1 0.4026 0.1750 0.4152  5 Se 2.52-2.67, 4 Re 2.67-2.69
Re2 0.5974 0.8250 0.5848  5 Se 2.52-2.67, 4 Re 2.67-2.69
Re3 0.8829 0.5387 0.8781  5 Se 2.52-2.67, 4 Re 2.67-2.69
Re4 0.4613 0.1171 0.6219  5 Se 2.52-2.67, 4 Re 2.67-2.69
Re5 0.6816 0.9967 0.4787  5 Se 2.54-2.65, 4 Re 2.67
Re6 0.1171 0.4613 0.1219  5 Se 2.52-2.67, 4 Re 2.67-2.69
Re7 0.9967 0.6816 0.9787  5 Se 2.54-2.65, 4 Re 2.67
Re8 0.1750 0.4026 0.9152  5 Se 2.52-2.67, 4 Re 2.67-2.69
Re9 0.0033 0.3184 0.0213  5 Se 2.54-2.65, 4 Re 2.67
Re10 0.3184 0.0033 0.5213  5 Se 2.54-2.65, 4 Re 2.67
Re11 0.8250 0.5974 0.0848  5 Se 2.52-2.67, 4 Re 2.67-2.69
Re12 0.5387 0.8829 0.3781  5 Se 2.52-2.67, 4 Re 2.67-2.69
Rb1 0.7818 0.2182 0.7500  8 Se 3.37-3.74
Rb2 0.6361 0.1389 0.0157  6 Se 3.31-3.54
Rb3 0.3783 0.6217 0.7500  6 Se 3.43-3.70
Rb4 0.8611 0.3639 0.4843  6 Se 3.31-3.54
Rb5 0.1389 0.6361 0.5157  6 Se 3.31-3.54
Rb6 0.3639 0.8611 0.9843  6 Se 3.31-3.54
Rb7 0.6217 0.3783 0.2500  6 Se 3.43-3.70
Rb8 0.2182 0.7818 0.2500  8 Se 3.37-3.74

5.
The following is a GGA-PBE calculation of crystalline PuCuIr at its relaxed geometry, from Alexandria.

Values from the calculation:
energy relative to the lowest polymorph listed for this composition = 0.315 eV/atom
energy relative to the elements = -0.06 eV per atom
crystal system = triclinic
space group = P-1
calculated total energy = -55.0 eV/cell

Unit cell a=5.2765 b=5.5446 c=5.5380 alpha=66.54 beta=61.72 gamma=61.59
Last column: nearest neighbours and their distance in Å.
Sites, in units of the cell vectors:
Pu1 0.4608 0.2679 0.4546  4 Ir 2.77-2.78, 2 Cu 3.00
Pu2 0.9608 0.7678 0.9548  4 Ir 2.77, 2 Cu 3.00
Ir1 0.4608 0.2677 0.9547  2 Cu 2.60, 2 Ir 2.64, 4 Pu 2.77
Ir2 0.9608 0.2678 0.9547  2 Cu 2.60, 2 Ir 2.64, 4 Pu 2.77-2.78
Cu1 0.2122 0.8996 0.3232  2 Ir 2.60
Cu2 0.7091 0.6361 0.5866  2 Ir 2.60

6.
The following is a GGA-PBE calculation of crystalline Ba2AlTc at its relaxed geometry, from Alexandria.

Values from the calculation:
energy relative to the elements = 0.13 eV per atom
crystal system = monoclinic
space group = Cm
calculated total energy = -17.4 eV/cell

Unit cell a=4.4665 b=4.4665 c=9.0440 alpha=75.94 beta=75.94 gamma=59.99
Last column: nearest neighbours and their distance in Å.
Sites, in units of the cell vectors:
Al1 0.2083 0.2083 0.3751  3 Tc 2.58
Ba1 0.9583 0.9583 0.1209  3 Tc 3.39, 3 Al 3.39
Ba2 0.7918 0.7918 0.6289  3 Al 3.39, 3 Tc 3.39
Tc1 0.5416 0.5416 0.3751  3 Al 2.58

7.
The following is a GGA-PBE calculation of crystalline ZrMn2ZnRe at its relaxed geometry, from Alexandria.

Values from the calculation:
energy relative to the elements = 1.26 eV per atom
crystal system = tetragonal
space group = P4/mmm
calculated total energy = -34.3 eV/cell

Unit cell a=4.3544 b=4.9432 c=4.3544 alpha=90.00 beta=90.00 gamma=90.00
Last column: nearest neighbours and their distance in Å.
Sites, in units of the cell vectors:
Mn1 0.0000 0.0000 0.5000  2 Zn 2.18
Mn2 0.5000 0.0000 0.0000  2 Zn 2.18
Zn1 0.0000 0.0000 0.0000  4 Mn 2.18
Re1 0.5000 0.5000 0.5000  4 Zr 3.08, 8 Mn 3.29
Zr1 0.0000 0.5000 0.0000  2 Zn 2.47

8.
The following is a GGA-PBE calculation of crystalline RbMn2AlHg at its relaxed geometry, from Alexandria.

Values from the calculation:
energy relative to the elements = 1.84 eV per atom
crystal system = tetragonal
space group = P4/mmm
calculated total energy = -14.2 eV/cell

Unit cell a=5.9949 b=6.0750 c=5.9949 alpha=90.00 beta=90.00 gamma=90.00
Last column: nearest neighbours and their distance in Å.
Sites, in units of the cell vectors:
Mn1 0.5000 0.0000 0.0000  2 Rb 3.00
Mn2 0.0000 0.0000 0.5000  2 Rb 3.00
Rb1 0.0000 0.0000 0.0000  4 Mn 3.00, 2 Hg 3.04
Al1 0.5000 0.5000 0.5000  4 Hg 4.24, 8 Mn 4.27
Hg1 0.0000 0.5000 0.0000  2 Rb 3.04

9.
The following is a GGA-PBE calculation of crystalline NaSbAu2 at its relaxed geometry, from Alexandria.

Values from the calculation:
raw formation energy = -129 meV per atom
crystal system = tetragonal
space group = I-42d
calculated total energy = -25.0 eV/cell

Unit cell a=5.2521 b=5.2521 c=9.4907 alpha=73.94 beta=73.94 gamma=90.00
Last column: nearest neighbours and their distance in Å.
Sites, in units of the cell vectors:
Au1 0.8750 0.9885 0.7500  2 Sb 2.65
Au2 0.0115 0.6250 0.2500  2 Sb 2.65
Au3 0.7385 0.1250 0.2500  2 Sb 2.65
Au4 0.3750 0.2615 0.7500  2 Sb 2.65
Sb1 0.7500 0.2500 0.5000  4 Au 2.65
Sb2 0.0000 0.0000 0.0000  4 Au 2.65
Na1 0.2500 0.7500 0.5000  4 Au 3.18
Na2 0.5000 0.5000 0.0000  4 Au 3.18

10.
The following is a GGA-PBE calculation of crystalline LaZrMn2 at its relaxed geometry, from Alexandria.

Values from the calculation:
energy relative to the lowest polymorph listed for this composition = 0.287 eV/atom
energy relative to the elements = 0.44 eV per atom
crystal system = cubic
space group = Fm-3m
calculated total energy = -30.0 eV/cell

Unit cell a=4.6921 b=4.6921 c=4.6921 alpha=60.00 beta=60.00 gamma=60.00
Last column: nearest neighbours and their distance in Å.
Sites, in units of the cell vectors:
Mn1 0.7500 0.7500 0.7500  4 Zr 2.87, 4 La 2.87
Mn2 0.2500 0.2500 0.2500  4 Zr 2.87, 4 La 2.87
La1 0.5000 0.5000 0.5000  8 Mn 2.87
Zr1 0.0000 0.0000 0.0000  8 Mn 2.87

11.
The following is a GGA-PBE calculation of crystalline Ba3UIn2O9 at its relaxed geometry, from Alexandria.

Values from the calculation:
energy relative to the lowest polymorph listed for this composition = 0.000 eV/atom
raw formation energy = -2553 meV per atom
crystal system = orthorhombic
space group = Immm
calculated total energy = -210.9 eV/cell

Unit cell a=10.5773 b=10.5773 c=10.5773 alpha=146.60 beta=131.81 gamma=59.90
Last column: nearest neighbours and their distance in Å.
Sites, in units of the cell vectors:
In1 0.8329 0.3329 0.5000  6 O 2.14-2.23
In2 0.5000 0.0000 0.5000  6 O 2.11-2.24
In3 0.0000 0.0000 0.0000  6 O 2.18-2.21
In4 0.1671 0.6671 0.5000  6 O 2.14-2.23
O1 0.5881 0.3442 0.7561  1 U 2.08, 1 In 2.24
O2 0.4119 0.6558 0.2439  1 U 2.08, 1 In 2.24
O3 0.4119 0.1681 0.7561  1 U 2.08, 1 In 2.24
O4 0.7446 0.0000 0.7446  2 In 2.11-2.21
O5 0.5745 0.3324 0.2421  1 U 2.09, 1 In 2.23
O6 0.2512 0.4938 0.2426  1 U 2.09, 1 In 2.20
O7 0.5881 0.8319 0.2439  1 U 2.08, 1 In 2.24
O8 0.2512 0.0085 0.7574  1 U 2.09, 1 In 2.20
O9 0.9097 0.6676 0.2421  1 U 2.09, 1 In 2.23
O10 0.9151 0.6647 0.7496  2 In 2.14-2.18
O11 0.7488 0.5062 0.7574  1 U 2.09, 1 In 2.20
O12 0.4255 0.6676 0.7579  1 U 2.09, 1 In 2.23
O13 0.7488 0.9915 0.2426  1 U 2.09, 1 In 2.20
O14 0.2554 0.0000 0.2554  2 In 2.11-2.21
O15 0.0849 0.8345 0.7496  2 In 2.14-2.18
O16 0.9151 0.1655 0.2504  2 In 2.14-2.18
O17 0.0849 0.3353 0.2504  2 In 2.14-2.18
O18 0.0903 0.3324 0.7579  1 U 2.09, 1 In 2.23
Ba1 0.6069 0.8444 0.7624  9 O 2.86-3.07
Ba2 0.9180 0.1556 0.7624  9 O 2.86-3.07
Ba3 0.0820 0.8444 0.2376  9 O 2.86-3.07
Ba4 0.7724 0.5000 0.2724  12 O 2.93-3.21
Ba5 0.3931 0.1556 0.2376  9 O 2.86-3.07
Ba6 0.2276 0.5000 0.7276  12 O 2.93-3.21
U1 0.3320 0.3320 0.0000  6 O 2.08-2.09
U2 0.6680 0.6680 0.0000  6 O 2.08-2.09

Q: Which of these has the lowest calculated total energy?
A: Rb2Re3Se6

Q: Among the records above, which one has the lowest calculated total energy?
A: Rb2Re3Se6

Q: What is the calculated total energy in the ninth record?
A: -25.0 eV/cell